Density functional theory data (PBE) for a relaxed Nd2YZrN4 crystal.

Cell lengths 6.035, 3.480, 6.092 Å; angles 90.00, 109.09, 90.00 degrees
Space group P2/m (No. 10)
Unique sites:
Nd: 0.000 0.000 0.000 (multiplicity 1)
Nd: 0.500 0.500 0.000 (multiplicity 1)
Y: 0.000 0.500 0.500 (multiplicity 1)
Zr: 0.500 0.000 0.500 (multiplicity 1)
N: 0.256 0.000 0.729 (multiplicity 2)
N: 0.269 0.500 0.276 (multiplicity 2)

Summary:
E_form (uncorrected): -1.536 eV/atom